[1]
Compound: CuAuNO2
Source: the Alexandria database
Functional: PBE
Structure: optimized geometry

a = 4.196 Å, b = 4.196 Å, c = 3.778 Å
α = 90.00°, β = 90.00°, γ = 90.00°
Space group P4/mmm (No. 123)
Unique sites:
1 Cu 0.000 0.000 0.000
2 Au 0.500 0.500 0.500
3 N 0.500 0.500 0.000
4 O 0.000 0.500 0.500

Summary:
Uncorrected energy   -19.067 eV/cell
DOS(E_F)   1.39 states/eV/atom
Uncorrected formation energy   1.31 eV per atom

=====

[2]
Compound: Cu2PdAuN
Source: the Alexandria database
Functional: PBE
Structure: optimized geometry

a = 4.599 Å, b = 4.599 Å, c = 5.013 Å
α = 90.00°, β = 90.00°, γ = 90.00°
Space group P4/mmm (No. 123)
Unique sites:
1 Cu 0.000 0.500 0.000
2 Pd 0.000 0.000 0.000
3 Au 0.000 0.000 0.500
4 N 0.500 0.500 0.500

Summary:
Uncorrected energy   -14.656 eV/cell
DOS(E_F)   1.69 states/eV/atom
Uncorrected formation energy   2.07 eV per atom